Entry 1:
Compound: SrTa4Ir
Source: the Alexandria database
Functional: PBE
Structure: relaxed

Lattice parameters (Å, degrees): 5.5707 5.5707 5.5707 60.00 60.00 60.00
Atoms (fractional coordinates):
Ta 0.3745 0.8766 0.3745
Ta 0.8766 0.3745 0.3745
Ta 0.3745 0.3745 0.8766
Ta 0.3745 0.3745 0.3745
Sr 0.0000 0.0000 0.0000
Ir 0.7500 0.7500 0.7500

Space group   F-43m
Electronic total energy   -9.074 eV per atom



Entry 2:
Compound: SrTa2Ir
Source: the Alexandria database
Functional: PBE
Structure: relaxed

Lattice parameters (Å, degrees): 3.2118 4.8164 5.0976 90.00 90.00 90.00
Atoms (fractional coordinates):
Ir 0.5000 0.0000 0.5000
Sr 0.0000 0.5000 0.5000
Ta 0.0000 0.0000 0.0000
Ta 0.5000 0.5000 0.0000

Space group   Pmmm
Relative energy among the computed polymorphs   45.1 kJ/mol of atoms
Electronic total energy   -7.980 eV per atom



Formation energy from the elements for the records above, in order: 0.585; 0.582 eV per atom
Total magnetic moment for the records above, in order: 0.00; 0.00 μB per cell